A plane-wave DFT calculation with PBE was carried out for a relaxed CeMg2Ga2Ag crystal.

Its magnetic moment is 0.47 μB per formula unit. The density of states at the Fermi level is 0.997 states/eV/atom. For the formation energy, the calculation gives -0.316 eV per atom.

The structure belongs to space group P-3m1 (No. 164); the cell edges are 4.6486, 4.6486 and 6.7236 Å and the angles 90.00°, 90.00° and 120.00°. The inequivalent atoms are Ce at (0.0000, 0.0000, 0.0000), Mg at (0.3333, 0.6667, 0.6677), Ga at (0.3333, 0.6667, 0.2142) and Ag at (0.0000, 0.0000, 0.5000).